A relaxed structure of K3V2F9. Source: the Alexandria database, functional PBE+U.

a b c (Å): 7.653 7.653 7.653
angles (deg): 84.97 84.97 84.97
Sites, in units of the cell vectors:
K 0.408 0.750 0.092
K 0.250 0.908 0.592
K 0.908 0.592 0.250
K 0.092 0.408 0.750
K 0.750 0.092 0.408
K 0.592 0.250 0.908
V 0.149 0.149 0.149
V 0.649 0.649 0.649
V 0.851 0.851 0.851
V 0.351 0.351 0.351
F 0.743 0.915 0.074
F 0.085 0.926 0.257
F 0.250 0.393 0.107
F 0.585 0.757 0.426
F 0.607 0.893 0.750
F 0.893 0.750 0.607
F 0.243 0.574 0.415
F 0.574 0.415 0.243
F 0.926 0.257 0.085
F 0.074 0.743 0.915
F 0.426 0.585 0.757
F 0.393 0.107 0.250
F 0.757 0.426 0.585
F 0.107 0.250 0.393
F 0.415 0.243 0.574
F 0.750 0.607 0.893
F 0.915 0.074 0.743
F 0.257 0.085 0.926

Output
VASP energy: -150.4 eV per cell
size of the total moment: 4.000 μB per formula unit